Arrangement P

A relaxed structure of HfGa3Cu, computed with PBE.

Values from the calculation:
- Space group: Pm-3m, No. 221
- Total magnetic moment: 0.00 μB/f.u.

a b c (Å): 5.1809 5.1809 5.1809
angles (deg): 90.00 90.00 90.00
Fractional positions:
Hf (0.0000, 0.0000, 0.0000)
Cu (0.5000, 0.5000, 0.5000)
Ga (0.0000, 0.5000, 0.0000)
Ga (0.0000, 0.0000, 0.5000)
Ga (0.5000, 0.0000, 0.0000)

=====

Arrangement Q

A relaxed structure of HfGa3Cu, computed with PBE.

Values from the calculation:
- Space group: Pm-3m, No. 221
- Total magnetic moment: 0.00 μB/f.u.

a b c (Å): 4.5731 4.5731 4.5731
angles (deg): 90.00 90.00 90.00
Fractional positions:
Hf (0.5000, 0.5000, 0.5000)
Cu (0.0000, 0.0000, 0.0000)
Ga (0.0000, 0.5000, 0.0000)
Ga (0.0000, 0.0000, 0.5000)
Ga (0.5000, 0.0000, 0.0000)

=====

Arrangement R

A relaxed structure of HfGa3Cu, computed with PBE.

Values from the calculation:
- Space group: Pmmn, No. 59
- Total magnetic moment: 0.00 μB/f.u.

a b c (Å): 4.0339 6.4794 6.5523
angles (deg): 90.00 90.00 90.00
Fractional positions:
Hf (0.7500, 0.2500, 0.3056)
Hf (0.2500, 0.7500, 0.6944)
Ga (0.7500, 0.7500, 0.0195)
Ga (0.2500, 0.2500, 0.9805)
Ga (0.7500, 0.0453, 0.7200)
Ga (0.7500, 0.4547, 0.7200)
Ga (0.2500, 0.9547, 0.2800)
Ga (0.2500, 0.5453, 0.2800)
Cu (0.7500, 0.7500, 0.3966)
Cu (0.2500, 0.2500, 0.6034)

=====

Energy ordering: arrangement R at the bottom, the next structure 0.437 eV/atom above.

=====

Arrangement P

A relaxed structure of Hf2Ga2Cu3, computed with PBE.

Values from the calculation:
- Space group: Cmmm, No. 65
- Total magnetic moment: 0.00 μB/f.u.

a b c (Å): 2.9963 4.0494 9.5004
angles (deg): 102.31 90.00 90.00
Fractional positions:
Hf (0.0000, 0.8530, 0.7059)
Hf (0.0000, 0.1470, 0.2941)
Ga (0.5000, 0.7100, 0.4199)
Ga (0.5000, 0.2900, 0.5801)
Cu (0.5000, 0.5658, 0.1315)
Cu (0.5000, 0.4342, 0.8685)
Cu (0.0000, 0.0000, 0.0000)

=====

Arrangement Q

A relaxed structure of Hf2Ga2Cu3, computed with PBE.

Values from the calculation:
- Space group: Cmcm, No. 63
- Total magnetic moment: 0.00 μB/f.u.

a b c (Å): 3.3043 7.2416 9.6173
angles (deg): 90.00 99.89 90.00
Fractional positions:
Hf (0.1451, 0.2500, 0.2902)
Hf (0.8549, 0.7500, 0.7098)
Hf (0.9440, 0.2500, 0.8880)
Hf (0.0560, 0.7500, 0.1120)
Ga (0.6740, 0.9385, 0.3480)
Ga (0.3260, 0.0615, 0.6520)
Ga (0.3260, 0.4385, 0.6520)
Ga (0.6740, 0.5615, 0.3480)
Cu (0.2406, 0.7500, 0.4811)
Cu (0.7594, 0.2500, 0.5189)
Cu (0.5532, 0.4205, 0.1064)
Cu (0.4468, 0.5795, 0.8936)
Cu (0.4468, 0.9205, 0.8936)
Cu (0.5532, 0.0795, 0.1064)

=====

Energy ordering: arrangement Q at the bottom, the next structure 0.066 eV/atom above.

=====

Arrangement P

A relaxed structure of Hf2Ga3Cu, computed with PBE.

Values from the calculation:
- Space group: C2/c, No. 15
- Total magnetic moment: 0.00 μB/f.u.

a b c (Å): 5.5857 6.2693 6.7476
angles (deg): 103.53 114.45 90.00
Fractional positions:
Hf (0.6754, 0.5912, 0.3634)
Hf (0.6880, 0.0912, 0.3634)
Hf (0.3120, 0.9088, 0.6366)
Hf (0.3246, 0.4088, 0.6366)
Ga (0.6933, 0.2500, 0.0000)
Ga (0.3067, 0.7500, 0.0000)
Ga (0.1270, 0.0605, 0.2443)
Ga (0.8827, 0.4395, 0.7557)
Ga (0.1173, 0.5605, 0.2443)
Ga (0.8730, 0.9395, 0.7557)
Cu (0.7440, 0.7500, 0.0000)
Cu (0.2560, 0.2500, 0.0000)

=====

Arrangement Q

A relaxed structure of Hf2Ga3Cu, computed with PBE.

Values from the calculation:
- Space group: Cm, No. 8
- Total magnetic moment: 0.00 μB/f.u.

a b c (Å): 5.3718 5.3718 6.4728
angles (deg): 53.08 53.08 45.19
Fractional positions:
Hf (0.4554, 0.4554, 0.8016)
Hf (0.5481, 0.5481, 0.2044)
Ga (0.1475, 0.1475, 0.3887)
Ga (0.1732, 0.1732, 0.7897)
Ga (0.8415, 0.8415, 0.2045)
Cu (0.8344, 0.8344, 0.6110)

=====

Energy ordering: arrangement Q at the bottom, the next structure 0.201 eV/atom above.